The following is a PBEsol calculation of a relaxed structure of K3CdP, from Alexandria.

As for the calculated volume: 37.176 Å³ per atom. The calculation puts the formation enthalpy at 0 K at -0.154 eV per atom.

It has space group Pnma (No. 62), with a = 9.617 Å, b = 5.690 Å, c = 13.587 Å, α = 90.00°, β = 90.00° and γ = 90.00°. The inequivalent atoms are K at (0.033, 0.250, 0.181), K at (0.114, 0.750, 0.515), K at (0.205, 0.250, 0.792), Cd at (0.155, 0.750, 0.036) and P at (0.193, 0.250, 0.386).